Sr2LaZr after structural relaxation. Source: the Alexandria database, functional GGA-PBE.

CIF file:
```
data_Sr2LaZr
_cell_length_a 6.317
_cell_length_b 6.317
_cell_length_c 6.317
_cell_angle_alpha 128.53
_cell_angle_beta 128.53
_cell_angle_gamma 75.77
_space_group_name_H-M_alt 'P 1'
_space_group_IT_number 1
_space_group_name_Hall 'P 1'
loop_
_atom_site_label
_atom_site_type_symbol
_atom_site_fract_x
_atom_site_fract_y
_atom_site_fract_z
Zr1 Zr 0.500 0.500 0.000
La1 La 0.750 0.250 0.500
Sr1 Sr 0.250 0.750 0.500
Sr2 Sr 0.000 0.000 0.000
```

- Space-group type: I-4m2, No. 119
- Distance to the lowest polymorph of the same formula: 184 meV/atom
- Formation enthalpy at 0 K: 1.902 eV/f.u.
- VASP energy: -3.734 eV per atom
- Calculated volume: 150.0 Å³/f.u.
- Mass density: 4.487 Mg/m³

---

SrLa2Zr after structural relaxation. Source: the Alexandria database, functional GGA-PBE.

CIF file:
```
data_SrLa2Zr
_cell_length_a 6.305
_cell_length_b 6.305
_cell_length_c 6.487
_cell_angle_alpha 80.84
_cell_angle_beta 80.84
_cell_angle_gamma 33.08
_space_group_name_H-M_alt 'P 1'
_space_group_IT_number 1
_space_group_name_Hall 'P 1'
loop_
_atom_site_label
_atom_site_type_symbol
_atom_site_fract_x
_atom_site_fract_y
_atom_site_fract_z
La1 La 0.991 0.991 0.011
Zr1 Zr 0.259 0.259 0.222
Sr1 Sr 0.508 0.508 0.489
La2 La 0.743 0.743 0.779
```

- Space-group type: Cm, No. 8
- Distance to the lowest polymorph of the same formula: 138 meV/atom
- Formation enthalpy at 0 K: 1.224 eV/f.u.
- VASP energy: -4.715 eV per atom
- Calculated volume: 138.8 Å³/f.u.
- Mass density: 5.464 Mg/m³

---

SrLa3Zr after structural relaxation. Source: the Alexandria database, functional GGA-PBE.

CIF file:
```
data_SrLa3Zr
_cell_length_a 5.778
_cell_length_b 5.778
_cell_length_c 5.778
_cell_angle_alpha 90.00
_cell_angle_beta 90.00
_cell_angle_gamma 90.00
_space_group_name_H-M_alt 'P 1'
_space_group_IT_number 1
_space_group_name_Hall 'P 1'
loop_
_atom_site_label
_atom_site_type_symbol
_atom_site_fract_x
_atom_site_fract_y
_atom_site_fract_z
La1 La 0.000 0.500 0.000
Sr1 Sr 0.000 0.000 0.000
Zr1 Zr 0.500 0.500 0.500
La2 La 0.000 0.000 0.500
La3 La 0.500 0.000 0.000
```

- Space-group type: Pm-3m, No. 221
- Distance to the lowest polymorph of the same formula: 931 meV/atom
- Formation enthalpy at 0 K: 6.321 eV/f.u.
- VASP energy: -3.738 eV per atom
- Calculated volume: 192.9 Å³/f.u.
- Mass density: 5.128 Mg/m³

---

Sr2LaZr after structural relaxation. Source: the Alexandria database, functional GGA-PBE.

CIF file:
```
data_Sr2LaZr
_cell_length_a 4.348
_cell_length_b 4.348
_cell_length_c 8.138
_cell_angle_alpha 90.00
_cell_angle_beta 90.00
_cell_angle_gamma 90.00
_space_group_name_H-M_alt 'P 1'
_space_group_IT_number 1
_space_group_name_Hall 'P 1'
loop_
_atom_site_label
_atom_site_type_symbol
_atom_site_fract_x
_atom_site_fract_y
_atom_site_fract_z
La1 La 0.500 0.500 0.750
Sr1 Sr 0.000 0.000 0.025
Zr1 Zr 0.500 0.500 0.250
Sr2 Sr 0.000 0.000 0.475
```

- Space-group type: P4/mmm, No. 123
- Distance to the lowest polymorph of the same formula: 265 meV/atom
- Formation enthalpy at 0 K: 2.225 eV/f.u.
- VASP energy: -3.653 eV per atom
- Calculated volume: 153.8 Å³/f.u.
- Mass density: 4.376 Mg/m³

---

SrLa2Zr after structural relaxation. Source: the Alexandria database, functional GGA-PBE.

CIF file:
```
data_SrLa2Zr
_cell_length_a 3.645
_cell_length_b 3.645
_cell_length_c 10.746
_cell_angle_alpha 90.00
_cell_angle_beta 90.00
_cell_angle_gamma 90.00
_space_group_name_H-M_alt 'P 1'
_space_group_IT_number 1
_space_group_name_Hall 'P 1'
loop_
_atom_site_label
_atom_site_type_symbol
_atom_site_fract_x
_atom_site_fract_y
_atom_site_fract_z
La1 La 0.000 0.000 0.542
La2 La 0.000 0.000 0.958
Zr1 Zr 0.500 0.500 0.750
Sr1 Sr 0.500 0.500 0.250
```

- Space-group type: P4/mmm, No. 123
- Distance to the lowest polymorph of the same formula: 0 meV/atom
- Formation enthalpy at 0 K: 0.670 eV/f.u.
- VASP energy: -4.854 eV per atom
- Calculated volume: 142.8 Å³/f.u.
- Mass density: 5.311 Mg/m³

---

Sr2LaZr after structural relaxation. Source: the Alexandria database, functional GGA-PBE.

CIF file:
```
data_Sr2LaZr
_cell_length_a 3.908
_cell_length_b 5.959
_cell_length_c 6.357
_cell_angle_alpha 90.00
_cell_angle_beta 90.00
_cell_angle_gamma 90.00
_space_group_name_H-M_alt 'P 1'
_space_group_IT_number 1
_space_group_name_Hall 'P 1'
loop_
_atom_site_label
_atom_site_type_symbol
_atom_site_fract_x
_atom_site_fract_y
_atom_site_fract_z
Sr1 Sr 0.000 0.000 0.000
Zr1 Zr 0.500 0.000 0.500
Sr2 Sr 0.500 0.500 0.000
La1 La 0.000 0.500 0.500
```

- Space-group type: Pmmm, No. 47
- Distance to the lowest polymorph of the same formula: 188 meV/atom
- Formation enthalpy at 0 K: 1.916 eV/f.u.
- VASP energy: -3.731 eV per atom
- Calculated volume: 148.0 Å³/f.u.
- Mass density: 4.547 Mg/m³